1.
{"formula": "Pr12Ge3O5", "functional": "PBE", "state": "relaxed", "raw_formation_energy_kj_per_mol_atoms": -152.6, "total_energy_ev_per_atom": -6.3816, "magmom_total_mub_per_cell": 8.74, "lattice_angstrom": [[13.860, 0.000, 0.000], [-4.620, 13.067, 0.000], [-4.620, -6.534, 11.317]], "species": ["Ge", "Ge", "Ge", "Ge", "Ge", "Ge", "Ge", "Ge", "Ge", "Ge", "Ge", "Ge", "O", "O", "O", "O", "O", "O", "O", "O", "O", "O", "O", "O", "O", "O", "O", "O", "O", "O", "O", "O", "Pr", "Pr", "Pr", "Pr", "Pr", "Pr", "Pr", "Pr", "Pr", "Pr", "Pr", "Pr", "Pr", "Pr", "Pr", "Pr", "Pr", "Pr", "Pr", "Pr", "Pr", "Pr", "Pr", "Pr", "Pr", "Pr", "Pr", "Pr", "Pr", "Pr", "Pr", "Pr", "Pr", "Pr", "Pr", "Pr", "Pr", "Pr", "Pr", "Pr", "Pr", "Pr", "Pr", "Pr", "Pr", "Pr", "Pr", "Pr"], "fractional_positions": [[0.750, 0.375, 0.125], [0.875, 0.750, 0.125], [0.375, 0.750, 0.625], [0.250, 0.125, 0.375], [0.875, 0.125, 0.250], [0.375, 0.625, 0.250], [0.625, 0.375, 0.750], [0.125, 0.875, 0.750], [0.750, 0.875, 0.625], [0.625, 0.250, 0.375], [0.125, 0.250, 0.875], [0.250, 0.625, 0.875], [0.125, 0.375, 0.250], [0.000, 0.500, 0.000], [0.000, 0.000, 0.000], [0.375, 0.250, 0.125], [0.500, 0.000, 0.500], [0.500, 0.500, 0.000], [0.125, 0.750, 0.375], [0.750, 0.125, 0.875], [0.750, 0.625, 0.375], [0.375, 0.125, 0.750], [0.625, 0.875, 0.250], [0.500, 0.500, 0.500], [0.500, 0.000, 0.000], [0.000, 0.000, 0.500], [0.250, 0.375, 0.625], [0.250, 0.875, 0.125], [0.000, 0.500, 0.500], [0.875, 0.250, 0.625], [0.625, 0.750, 0.875], [0.875, 0.625, 0.750], [0.703, 0.114, 0.018], [0.315, 0.518, 0.404], [0.982, 0.386, 0.297], [0.518, 0.203, 0.114], [0.589, 0.703, 0.685], [0.982, 0.596, 0.185], [0.315, 0.797, 0.411], [0.096, 0.911, 0.114], [0.596, 0.982, 0.685], [0.703, 0.589, 0.185], [0.797, 0.482, 0.386], [0.815, 0.904, 0.018], [0.114, 0.703, 0.518], [0.386, 0.404, 0.089], [0.089, 0.904, 0.386], [0.411, 0.114, 0.596], [0.089, 0.185, 0.203], [0.482, 0.685, 0.096], [0.815, 0.911, 0.297], [0.114, 0.411, 0.096], [0.386, 0.982, 0.797], [0.596, 0.614, 0.411], [0.904, 0.815, 0.518], [0.797, 0.315, 0.911], [0.404, 0.386, 0.589], [0.096, 0.185, 0.482], [0.203, 0.685, 0.089], [0.185, 0.089, 0.703], [0.614, 0.018, 0.203], [0.886, 0.589, 0.904], [0.518, 0.315, 0.904], [0.589, 0.886, 0.404], [0.911, 0.815, 0.797], [0.911, 0.096, 0.614], [0.886, 0.297, 0.482], [0.185, 0.096, 0.982], [0.614, 0.596, 0.911], [0.404, 0.018, 0.315], [0.297, 0.411, 0.815], [0.203, 0.518, 0.614], [0.904, 0.089, 0.886], [0.685, 0.203, 0.589], [0.482, 0.797, 0.886], [0.018, 0.404, 0.815], [0.411, 0.297, 0.315], [0.018, 0.614, 0.703], [0.685, 0.482, 0.596], [0.297, 0.886, 0.982]]}


2.
{"formula": "La2PmNdDy2", "functional": "PBE", "state": "relaxed", "total_energy_ev_per_atom": -4.6985, "magmom_total_mub_per_cell": 0.00, "formation_enthalpy_0k_kj_per_mol_atoms": 6.2, "lattice_angstrom": [[-5.700, 0.093, -1.012], [1.249, -0.017, -7.037], [-0.163, -10.010, -0.005]], "species": ["La", "La", "La", "La", "Pm", "Pm", "Nd", "Nd", "Dy", "Dy", "Dy", "Dy"], "fractional_positions": [[0.500, 0.008, 0.000], [0.000, 0.258, 0.169], [0.500, 0.508, 0.000], [0.000, 0.758, 0.831], [0.000, 0.007, 0.500], [0.000, 0.507, 0.500], [0.500, 0.257, 0.665], [0.500, 0.757, 0.335], [0.000, 0.258, 0.833], [0.500, 0.257, 0.335], [0.000, 0.758, 0.167], [0.500, 0.757, 0.665]]}


3.
{"formula": "LiPr2USe4", "functional": "PBE", "state": "relaxed", "raw_formation_energy_kj_per_mol_atoms": -147.1, "total_energy_ev_per_atom": -6.1119, "magmom_total_mub_per_cell": 2.92, "lattice_angstrom": [[-0.853, 1.905, -3.582], [-6.529, -3.057, -0.072], [-0.368, 6.320, 3.449]], "species": ["Li", "Pr", "Pr", "U", "Se", "Se", "Se", "Se"], "fractional_positions": [[0.500, 0.500, 0.000], [0.500, 0.000, 0.500], [0.000, 0.500, 0.500], [0.000, 0.000, 0.000], [0.500, 0.250, 0.233], [0.500, 0.750, 0.767], [0.000, 0.260, 0.769], [0.000, 0.740, 0.231]]}


4.
{"formula": "Ba5Mg4Ga4", "functional": "PBE", "state": "relaxed", "total_energy_ev_per_atom": -2.4153, "magmom_total_mub_per_cell": 0.00, "formation_enthalpy_0k_kj_per_mol_atoms": -24.5, "lattice_angstrom": [[-2.688, -0.432, -4.108], [6.371, -1.418, -6.976], [-1.914, -9.332, -0.723]], "species": ["Ba", "Ba", "Ba", "Ba", "Ba", "Mg", "Mg", "Mg", "Mg", "Ga", "Ga", "Ga", "Ga"], "fractional_positions": [[0.709, 0.929, 0.653], [0.291, 0.071, 0.347], [0.000, 0.000, 0.000], [0.638, 0.653, 0.071], [0.362, 0.347, 0.929], [0.897, 0.536, 0.670], [0.567, 0.330, 0.536], [0.103, 0.464, 0.330], [0.433, 0.670, 0.464], [0.727, 0.319, 0.226], [0.273, 0.681, 0.774], [0.953, 0.774, 0.319], [0.047, 0.226, 0.681]]}


5.
{"formula": "LiZr2Pb", "functional": "PBE", "state": "relaxed", "total_energy_ev_per_atom": -5.7177, "magmom_total_mub_per_cell": 0.00, "formation_enthalpy_0k_kj_per_mol_atoms": -3.7, "lattice_angstrom": [[-2.920, 0.598, 1.095], [-1.222, -1.936, -2.201], [0.744, -7.165, 5.891]], "species": ["Li", "Pb", "Zr", "Zr"], "fractional_positions": [[0.000, 0.000, 0.511], [0.500, 0.500, 0.741], [0.000, 0.000, 0.007], [0.500, 0.500, 0.241]]}


6.
{"formula": "Ti2ZnPdPt5", "functional": "PBE", "state": "relaxed", "total_energy_ev_per_atom": -6.0559, "magmom_total_mub_per_cell": 0.00, "formation_enthalpy_0k_kj_per_mol_atoms": -21.9, "lattice_angstrom": [[7.456, 0.000, 0.000], [0.000, 7.456, 0.000], [-3.728, -3.728, 5.433]], "species": ["Ti", "Ti", "Ti", "Ti", "Zn", "Zn", "Pd", "Pd", "Pt", "Pt", "Pt", "Pt", "Pt", "Pt", "Pt", "Pt", "Pt", "Pt"], "fractional_positions": [[0.112, 0.388, 0.000], [0.612, 0.112, 0.000], [0.388, 0.888, 0.000], [0.888, 0.612, 0.000], [0.250, 0.250, 0.500], [0.750, 0.750, 0.500], [0.250, 0.750, 0.500], [0.750, 0.250, 0.500], [0.922, 0.422, 0.261], [0.661, 0.161, 0.739], [0.078, 0.578, 0.739], [0.161, 0.078, 0.739], [0.578, 0.661, 0.739], [0.839, 0.922, 0.261], [0.422, 0.339, 0.261], [0.339, 0.839, 0.261], [0.500, 0.500, 0.000], [0.000, 0.000, 0.000]]}